DFT (PBE-GGA) results for a relaxed structure of Pm3AlIn3.

The value obtained for the density of states at the Fermi level is 28.500 states/eV/cell. As for the spin magnetization: 0.0 μB per formula unit. The formation energy comes out at -455 meV/atom. As for the theoretical density: 6.840 g/cm3.

The structure belongs to space group C2/m (No. 12); the cell edges are 11.6106, 4.6630 and 15.2803 Å and the angles 90.00°, 108.82° and 90.00°. The inequivalent atoms are Pm at (0.0248, 0.0000, 0.3815), Pm at (0.1035, 0.0000, 0.9222), Pm at (0.2369, 0.0000, 0.2265), Al at (0.2346, 0.5000, 0.3807), In at (0.0189, 0.5000, 0.2319), In at (0.1167, 0.5000, 0.0755) and In at (0.1428, 0.5000, 0.5419).